# 1
Entry from OQMD via LeMat-Bulk: crystalline Cs2ErTh2 at its relaxed geometry (PBE).

Calculated values
Space group: I4_1/amd
VASP energy (eV/f.u.): -15.9
Magnetization (μB per cell): 0.18

Unit cell a=10.673 b=10.673 c=10.673 alpha=142.67 beta=142.67 gamma=53.82
Atoms (fractional coordinates):
Cs: 0.000 0.000 0.000
Cs: 0.000 0.000 0.500
Cs: 0.000 0.500 0.000
Cs: 0.500 0.000 0.500
Er: 0.375 0.625 0.750
Er: 0.625 0.375 0.250
Th: 0.209 0.459 0.750
Th: 0.459 0.209 0.250
Th: 0.541 0.791 0.750
Th: 0.791 0.541 0.250

# 2
Entry from OQMD via LeMat-Bulk: crystalline K3Nb2CuSe12 at its relaxed geometry (PBE).

Calculated values
Space group: P2_1/c
VASP energy (eV/f.u.): -81.9
Magnetization (μB per cell): 0.01

Unit cell a=9.656 b=13.725 c=17.562 alpha=90.00 beta=118.11 gamma=90.00
Atoms (fractional coordinates):
K: 0.144 0.087 0.226
K: 0.144 0.413 0.726
K: 0.231 0.584 0.993
K: 0.231 0.916 0.493
K: 0.335 0.103 0.841
K: 0.335 0.397 0.341
K: 0.665 0.603 0.659
K: 0.665 0.897 0.159
K: 0.769 0.084 0.507
K: 0.769 0.416 0.007
K: 0.856 0.587 0.274
K: 0.856 0.913 0.774
Nb: 0.211 0.722 0.225
Nb: 0.211 0.778 0.725
Nb: 0.411 0.222 0.577
Nb: 0.411 0.278 0.077
Nb: 0.589 0.722 0.923
Nb: 0.589 0.778 0.423
Nb: 0.789 0.222 0.275
Nb: 0.789 0.278 0.775
Cu: 0.110 0.189 0.422
Cu: 0.110 0.311 0.922
Cu: 0.890 0.689 0.078
Cu: 0.890 0.811 0.578
Se: 0.001 0.114 0.006
Se: 0.001 0.386 0.506
Se: 0.001 0.643 0.639
Se: 0.001 0.857 0.139
Se: 0.057 0.707 0.800
Se: 0.057 0.793 0.300
Se: 0.078 0.567 0.162
Se: 0.078 0.933 0.662
Se: 0.129 0.230 0.565
Se: 0.129 0.270 0.065
Se: 0.332 0.720 0.630
Se: 0.332 0.780 0.130
Se: 0.346 0.661 0.394
Se: 0.346 0.839 0.894
Se: 0.355 0.608 0.828
Se: 0.355 0.892 0.328
Se: 0.365 0.163 0.435
Se: 0.365 0.337 0.935
Se: 0.389 0.068 0.659
Se: 0.389 0.432 0.159
Se: 0.395 0.090 0.062
Se: 0.395 0.410 0.562
Se: 0.496 0.682 0.255
Se: 0.496 0.818 0.755
Se: 0.504 0.182 0.245
Se: 0.504 0.318 0.745
Se: 0.605 0.590 0.438
Se: 0.605 0.910 0.938
Se: 0.611 0.568 0.841
Se: 0.611 0.932 0.341
Se: 0.635 0.663 0.065
Se: 0.635 0.837 0.565
Se: 0.645 0.108 0.672
Se: 0.645 0.392 0.172
Se: 0.654 0.161 0.106
Se: 0.654 0.339 0.606
Se: 0.668 0.220 0.870
Se: 0.668 0.280 0.370
Se: 0.871 0.730 0.935
Se: 0.871 0.770 0.435
Se: 0.922 0.067 0.338
Se: 0.922 0.433 0.838
Se: 0.943 0.207 0.700
Se: 0.943 0.293 0.200
Se: 0.999 0.143 0.861
Se: 0.999 0.357 0.361
Se: 0.999 0.614 0.494
Se: 0.999 0.886 0.994

# 3
Entry from OQMD via LeMat-Bulk: crystalline Er2C at its relaxed geometry (PBE).

Calculated values
Space group: Fm-3m
VASP energy (eV/f.u.): -18.0
Magnetization (μB per cell): 0.01

Unit cell a=4.276 b=4.276 c=4.276 alpha=60.00 beta=60.00 gamma=60.00
Atoms (fractional coordinates):
Er: 0.250 0.250 0.250
Er: 0.750 0.750 0.750
C: 0.000 0.000 0.000

- Which of these has the highest magnetization?
  Cs2ErTh2

- Which formula does entry 3 have?
  Er2C

- What is the VASP energy in the third record?
  -18.0 eV/f.u.